Compound: CeB3
Source: Alexandria
Functional: PBE
Structure: relaxed

- Formation energy: -0.19 eV per atom
- M_tot: 0.6 μB per cell

a = 4.444 Å, b = 4.444 Å, c = 9.775 Å
α = 90.00°, β = 103.13°, γ = 120.00°
Positions (direct):
1 B 0.783 0.392 0.811
2 B 0.217 0.608 0.189
3 B 0.420 0.392 0.811
4 B 0.580 0.608 0.189
5 B 0.580 0.972 0.189
6 B 0.000 0.500 0.500
7 B 0.420 0.028 0.811
8 B 0.802 0.401 0.203
9 B 0.198 0.599 0.797
10 Ce 0.761 0.881 0.641
11 Ce 0.000 0.000 0.000
12 Ce 0.239 0.119 0.359